Rb2Mn2I7, relaxed, DFT GGA-PBE; total moment = 9.0 μB/f.u.; formation energy from raw total energies = -743 meV per atom; V = 588.1 Å³/cell
1.0
5.7807 -7.8383 0.0000
5.7807 7.8383 0.0000
-1.5770 0.0000 6.4900
Rb Mn I
2 2 7
Cartesian
5.7807 4.5809 0.0000 Rb
5.7807 -4.5809 0.0000 Rb
2.3079 0.0000 3.7887 Mn
7.6764 0.0000 2.7012 Mn
0.8147 0.0000 1.6290 I
1.7632 2.3159 4.8992 I
1.7632 -2.3159 4.8992 I
4.9921 0.0000 3.2450 I
8.2210 2.3159 1.5908 I
8.2210 -2.3159 1.5908 I
9.1695 0.0000 4.8609 I